An optimized crystal structure of Pr2NdCo2B2O3. Source: OQMD, functional GGA+U.

abc: 10.3502 10.3502 10.3502
angles: 159.94 159.94 28.52
With the nearest neighbours (Å) after each atom.
Sites, in units of the cell vectors:
B: 0.2014 0.2014 0.0000  1 O 1.61
B: 0.7986 0.7986 0.0000  1 O 1.61
Co: 0.7500 0.2500 0.5000  4 B 2.05
Co: 0.2500 0.7500 0.5000  4 B 2.05
Nd: 0.0000 0.0000 0.0000  6 O 2.43-2.55
O: 0.1212 0.1212 0.0000  1 B 1.61
O: 0.5000 0.5000 0.0000  4 Nd 2.55, 2 Pr 2.69
O: 0.8788 0.8788 0.0000  1 B 1.61
Pr: 0.3660 0.3660 0.0000  5 O 2.56-2.69
Pr: 0.6340 0.6340 0.0000  5 O 2.56-2.69

The final energy is -67.9 eV per cell.